1.
Material: PrCd6
Method: DFT, PBE
State: relaxed

Unit cell a=9.3302 b=6.0759 c=11.8287 alpha=90.00 beta=90.00 gamma=90.00
Closest atoms and distances in Å follow each position.
Space group Pnma (No. 62)
Unique sites:
Pr (0.2409, 0.2500, 0.0576) x4  13 Cd 3.32-3.72
Cd (0.0655, 0.7500, 0.0847) x4  6 Cd 2.87-3.19
Cd (0.0679, 0.0156, 0.3096) x8  8 Cd 2.85-3.16
Cd (0.1010, 0.2500, 0.5247) x4  7 Cd 2.93-3.24
Cd (0.1341, 0.7500, 0.8480) x4  5 Cd 2.87-3.16
Cd (0.1878, 0.2500, 0.7635) x4  7 Cd 2.85-3.13

Properties
The energy above the most stable polymorph in this dataset is 0.0 meV per atom. For the formation enthalpy at 0 K, the calculation gives -0.163 eV per atom. The energy comes out at -1.631 eV per atom.

2.
Material: PrCd5
Method: DFT, PBE
State: relaxed

Unit cell a=8.9312 b=4.9821 c=6.7259 alpha=90.00 beta=98.05 gamma=90.00
Closest atoms and distances in Å follow each position.
Space group C2/m (No. 12)
Unique sites:
Pr (0.0000, 0.0000, 0.0000) x2  14 Cd 3.34-3.47
Cd (0.0000, 0.0000, 0.5000) x2  6 Cd 3.03-3.14, 2 Pr 3.36
Cd (0.1394, 0.5000, 0.7431) x4  5 Cd 2.93-3.14
Cd (0.1883, 0.5000, 0.2558) x4  4 Cd 2.93-3.03

Properties
For the formation enthalpy at 0 K, the calculation gives -0.229 eV per atom. The energy comes out at -1.788 eV per atom.

3.
Material: PrCd4
Method: DFT, PBE
State: relaxed

Unit cell a=4.4657 b=4.4657 c=12.8632 alpha=90.00 beta=90.00 gamma=90.00
Closest atoms and distances in Å follow each position.
Space group I4/mmm (No. 139)
Unique sites:
Pr (0.0000, 0.0000, 0.0000) x2  8 Cd 3.44
Cd (0.0000, 0.0000, 0.3934) x4  5 Cd 2.74-2.90
Cd (0.0000, 0.5000, 0.2500) x4  8 Cd 2.90-3.16

Properties
For the formation enthalpy at 0 K, the calculation gives -0.216 eV per atom. The energy comes out at -1.904 eV per atom.